1.
BaSc2Fe | Alexandria | GGA-PBE | relaxed; M_tot = 0.63 μB per formula unit; raw total energy = -5.401 eV per atom; calculated volume = 106.11 Å³/cell
1.0
-0.339 -4.228 4.621
5.127 -3.561 0.607
-2.607 5.698 0.269
Ba Fe Sc
1 1 2
Cartesian
-0.276 -1.212 3.752
2.457 -0.879 1.745
0.332 -0.539 0.362
2.062 -3.355 2.252

2.
Ba2ScFe | Alexandria | GGA-PBE | relaxed; M_tot = 2.05 μB per formula unit; raw total energy = -3.876 eV per atom; calculated volume = 135.10 Å³/cell
1.0
-5.260 1.275 -2.757
-0.970 -4.867 -3.503
1.239 0.144 5.945
Ba Fe Sc
2 1 1
Cartesian
0.000 0.000 0.000
-3.115 -1.796 -3.130
-1.423 -3.259 -0.344
-3.568 -0.189 0.029

3.
BaScFe | Alexandria | GGA-PBE | relaxed; M_tot = 1.02 μB per formula unit; raw total energy = -4.830 eV per atom; calculated volume = 84.13 Å³/cell
1.0
4.918 0.000 0.000
2.459 4.260 0.000
2.459 1.420 4.016
Ba Fe Sc
1 1 1
Cartesian
4.918 2.840 2.008
7.378 4.260 3.012
0.000 0.000 0.000

4.
BaSc3Fe | Alexandria | GGA-PBE | relaxed; M_tot = 0.00 μB per formula unit; raw total energy = -5.783 eV per atom; calculated volume = 131.87 Å³/cell
1.0
-1.006 -3.469 3.586
2.830 -3.410 -2.504
4.109 1.499 2.603
Sc Ba Fe
3 1 1
Cartesian
1.415 -1.705 -1.252
2.055 0.750 1.302
-0.503 -1.735 1.793
2.967 -2.690 1.843
0.000 0.000 0.000

5.
BaScFe4 | Alexandria | GGA-PBE | relaxed; M_tot = 8.54 μB per formula unit; raw total energy = -6.671 eV per atom; calculated volume = 100.90 Å³/cell
1.0
3.727 1.216 3.455
-0.609 4.118 3.160
-0.834 -0.726 5.107
Ba Sc Fe
1 1 4
Cartesian
0.000 0.000 0.000
1.713 3.455 8.791
2.690 2.335 6.118
0.453 1.383 6.928
0.564 3.758 5.973
0.862 1.739 4.424

6.
BaScFe | Alexandria | GGA-PBE | relaxed; M_tot = 1.43 μB per formula unit; raw total energy = -5.161 eV per atom; calculated volume = 81.33 Å³/cell
1.0
-3.090 6.112 1.283
-5.282 3.757 -2.548
2.617 -6.059 2.222
Ba Fe Sc
1 1 1
Cartesian
-5.588 3.612 0.982
-2.525 2.976 -0.381
-3.398 1.030 1.313

7.
BaScFe | Alexandria | GGA-PBE | relaxed; M_tot = 0.94 μB per formula unit; raw total energy = -4.923 eV per atom; calculated volume = 90.53 Å³/cell
1.0
-1.766 -3.526 -2.177
3.335 2.371 -1.884
3.460 -3.103 2.220
Ba Fe Sc
1 1 1
Cartesian
0.001 -0.001 0.000
1.663 -3.111 -0.971
3.366 -1.148 -0.871

8.
BaSc2Fe | Alexandria | GGA-PBE | relaxed; M_tot = 0.00 μB per formula unit; raw total energy = -5.627 eV per atom; calculated volume = 100.14 Å³/cell
1.0
3.250 0.000 0.000
0.000 3.249 0.007
0.000 3.182 9.491
Ba Fe Sc
1 1 2
Cartesian
1.625 1.608 2.375
1.625 4.823 7.124
0.000 3.197 8.587
0.000 3.200 5.654

9.
BaScFe | Alexandria | GGA-PBE | relaxed; M_tot = 1.82 μB per formula unit; raw total energy = -4.142 eV per atom; calculated volume = 83.85 Å³/cell
1.0
4.913 0.000 0.000
2.456 4.255 0.000
2.456 1.418 4.011
Ba Fe Sc
1 1 1
Cartesian
7.369 4.255 3.009
0.000 0.000 0.000
4.913 2.836 2.006

10.
Ba2ScFe | Alexandria | GGA-PBE | relaxed; M_tot = 1.60 μB per formula unit; raw total energy = -4.248 eV per atom; calculated volume = 141.63 Å³/cell
1.0
-4.968 -5.702 6.409
-1.976 -7.564 6.095
1.310 1.482 3.706
Ba Fe Sc
2 1 1
Cartesian
0.502 0.039 4.562
-2.009 -4.450 7.249
-4.225 -8.839 12.157
-1.408 -2.946 4.052

11.
Ba2ScFe | Alexandria | GGA-PBE | relaxed; M_tot = 0.97 μB per formula unit; raw total energy = -4.193 eV per atom; calculated volume = 139.02 Å³/cell
1.0
6.942 0.103 -0.024
3.075 6.225 0.024
-4.135 -4.548 3.230
Ba Fe Sc
2 1 1
Cartesian
0.084 0.053 0.000
3.359 -0.988 1.603
4.695 2.965 0.000
2.755 2.913 1.627

12.
Ba2ScFe | Alexandria | GGA-PBE | relaxed; M_tot = 3.79 μB per formula unit; raw total energy = -3.865 eV per atom; calculated volume = 137.93 Å³/cell
1.0
-1.990 8.499 7.161
-5.534 7.248 6.657
-3.291 5.602 9.233
Ba Fe Sc
2 1 1
Cartesian
-10.689 21.101 22.783
-5.533 10.923 11.794
-2.704 5.337 5.763
-8.111 16.012 17.288

The highest M_tot belongs to which entry?
BaScFe4